Entry 1:
12
Lattice="4.826 0.000 0.000 0.000 6.366 0.000 0.000 0.000 10.865" Properties=species:S:1:pos:R:3 comment="PBE-GGA CsAcCd10, relaxed" formation_energy_mev_per_atom=-122 pbc="T T T"
Cs 0.000 3.183 5.432
Ac 0.000 0.000 0.000
Cd 0.000 0.000 3.603
Cd 0.000 3.183 9.072
Cd 0.000 3.183 1.793
Cd 0.000 0.000 7.262
Cd 2.413 0.000 5.432
Cd 2.413 3.183 0.000
Cd 2.413 1.472 2.427
Cd 2.413 4.894 8.438
Cd 2.413 4.894 2.427
Cd 2.413 1.472 8.438

=====

Entry 2:
4
Lattice="4.258 0.000 0.000 0.000 3.173 -0.013 0.000 1.578 6.306" Properties=species:S:1:pos:R:3 comment="PBE-GGA MgAl2Sb, relaxed" formation_energy_uncorrected_kj_per_mol_fu=13 pbc="T T T"
Al 0.000 2.571 0.299
Al 2.129 0.985 1.411
Mg 0.000 2.578 3.120
Sb 2.129 4.167 4.596

=====

Entry 3:
4
Lattice="-3.679 1.173 -2.705 -1.589 -0.707 -4.382 -2.563 -3.774 1.036" Properties=species:S:1:pos:R:3 comment="PBE-GGA BeTeW2, relaxed" formation_energy_uncorrected_kj_per_mol_fu=232 de_polymorph_ev_per_fu=1.18 pbc="T T T"
Be -1.958 -0.827 -1.513
Te -5.873 -2.482 -4.538
W -0.108 -0.154 0.037
W -3.807 -1.501 -3.063

=====

What did the third record say?
4
Lattice="-3.679 1.173 -2.705 -1.589 -0.707 -4.382 -2.563 -3.774 1.036" Properties=species:S:1:pos:R:3 comment="PBE-GGA BeTeW2, relaxed" formation_energy_uncorrected_kj_per_mol_fu=232 de_polymorph_ev_per_fu=1.18 pbc="T T T"
Be -1.958 -0.827 -1.513
Te -5.873 -2.482 -4.538
W -0.108 -0.154 0.037
W -3.807 -1.501 -3.063